# 1
# Na2Cd12Au7, relaxed, DFT PBE
# crystal system = trigonal
# calculated formation energy = -0.18 eV/atom
data_Na2Cd12Au7
_symmetry_space_group_name_H-M 'P -3'
_symmetry_Int_Tables_number 147
_cell_length_a 11.7231
_cell_length_b 11.7231
_cell_length_c 4.0373
_cell_angle_alpha 90.00
_cell_angle_beta 90.00
_cell_angle_gamma 120.00
loop_
_symmetry_equiv_pos_as_xyz
'x,y,z'
'-x,-y,-z'
'-y,x-y,z'
'y,-x+y,-z'
'-x+y,-x,z'
'x-y,x,-z'
loop_
_atom_site_label
_atom_site_fract_x
_atom_site_fract_y
_atom_site_fract_z
Na1 0.3333 0.6667 0.2522
Cd1 0.0588 0.4427 0.7487
Cd2 0.1025 0.2578 0.2441
Au1 0.0000 0.0000 0.5000
Au2 0.1347 0.7127 0.7522

# 2
# MgRh3C, relaxed, DFT PBE
# crystal system = monoclinic
# calculated formation energy = -0.09 eV/atom
data_MgRh3C
_symmetry_space_group_name_H-M 'P 1 21/c 1'
_symmetry_Int_Tables_number 14
_cell_length_a 7.580
_cell_length_b 4.752
_cell_length_c 10.224
_cell_angle_alpha 90.00
_cell_angle_beta 132.02
_cell_angle_gamma 90.00
loop_
_symmetry_equiv_pos_as_xyz
'x,y,z'
'-x,-y,-z'
'-x,y+1/2,-z+1/2'
'x,-y+1/2,z+1/2'
loop_
_atom_site_label
_atom_site_fract_x
_atom_site_fract_y
_atom_site_fract_z
Mg1 0.250 0.220 0.047
Rh1 0.010 0.247 0.171
Rh2 0.253 0.727 0.205
Rh3 0.499 0.230 0.414
C1 0.240 0.541 0.852

# 3
# Cs2RhSe2, relaxed, DFT PBE
# crystal system = orthorhombic
data_Cs2RhSe2
_symmetry_space_group_name_H-M 'I b a m'
_symmetry_Int_Tables_number 72
_symmetry_space_group_name_Hall '-I 2 2c'
_cell_length_a 7.606
_cell_length_b 14.383
_cell_length_c 6.649
_cell_angle_alpha 90.00
_cell_angle_beta 90.00
_cell_angle_gamma 90.00
loop_
_atom_site_label
_atom_site_fract_x
_atom_site_fract_y
_atom_site_fract_z
Cs1 0.165 0.147 0.000
Rh1 0.000 0.500 0.250
Se1 0.166 0.407 0.000

Number 1: M_tot 0.00 μB per cell, raw total energy -1.924 eV/atom. Number 2: M_tot 0.00 μB per cell, raw total energy -6.661 eV/atom. Number 3: M_tot 0.00 μB per cell, raw total energy -3.881 eV/atom.